Record 1
# PrSm4Tl2 PBE optimized geometry
data_PrSm4Tl2
_chemical_formula_sum 'Pr2 Sm8 Tl4'
_cell_length_a 4.821
_cell_length_b 8.204
_cell_length_c 13.074
_cell_angle_alpha 107.98
_cell_angle_beta 79.38
_cell_angle_gamma 72.91
_symmetry_space_group_name_H-M 'P 1'
_symmetry_Int_Tables_number 1
loop_
_symmetry_equiv_pos_as_xyz
'x,y,z'
loop_
_atom_site_label
_atom_site_fract_x
_atom_site_fract_y
_atom_site_fract_z
Pr1 0.998 0.913 0.092
Pr2 0.002 0.087 0.908
Sm1 0.313 0.056 0.317
Sm2 0.668 0.562 0.102
Sm3 0.015 0.279 0.690
Sm4 0.641 0.390 0.327
Sm5 0.359 0.610 0.673
Sm6 0.985 0.721 0.310
Sm7 0.332 0.438 0.898
Sm8 0.687 0.944 0.683
Tl1 0.665 0.166 0.504
Tl2 0.304 0.265 0.127
Tl3 0.696 0.735 0.873
Tl4 0.335 0.834 0.496
# total magnetic moment: 0.00 Bohr magnetons per cell
# energy above the lowest structure with this stoichiometry: 0 meV/atom

Record 2
# Pr8Sm6Tl PBE optimized geometry
data_Pr8Sm6Tl
_chemical_formula_sum 'Pr8 Sm6 Tl1'
_cell_length_a 6.679
_cell_length_b 9.512
_cell_length_c 9.512
_cell_angle_alpha 120.00
_cell_angle_beta 90.00
_cell_angle_gamma 90.00
_symmetry_space_group_name_H-M 'P 1'
_symmetry_Int_Tables_number 1
loop_
_symmetry_equiv_pos_as_xyz
'x,y,z'
loop_
_atom_site_label
_atom_site_fract_x
_atom_site_fract_y
_atom_site_fract_z
Pr1 0.820 0.042 0.271
Pr2 0.820 0.729 0.771
Pr3 0.820 0.229 0.958
Pr4 0.180 0.958 0.729
Pr5 0.180 0.271 0.229
Pr6 0.180 0.771 0.042
Pr7 0.865 0.333 0.667
Pr8 0.135 0.667 0.333
Sm1 0.666 0.648 0.095
Sm2 0.666 0.905 0.553
Sm3 0.666 0.447 0.352
Sm4 0.334 0.352 0.905
Sm5 0.334 0.095 0.447
Sm6 0.334 0.553 0.648
Tl1 0.500 0.000 0.000
# total magnetic moment: 0.00 Bohr magnetons per cell
# energy: -67.87 eV/f.u.